No. 1
Here is an optimized crystal structure of ScPtCl2 from Alexandria. Energies are from PBEsol.

The space group is I-4m2 (No. 119) and the conventional cell measures 3.743, 3.743 and 9.634 Å, with angles of 90.00, 90.00 and 90.00 degrees. The asymmetric unit holds Sc at (0.000, 0.000, 0.000), Pt at (0.000, 0.500, 0.750), Cl at (0.000, 0.000, 0.500) and Cl at (0.000, 0.500, 0.250).

The calculation puts the uncorrected energy at -40.3 eV/cell. For the total moment, the calculation gives 0.0 μB per formula unit.

No. 2
Here is an optimized crystal structure of ScPtCl2 from Alexandria. Energies are from PBEsol.

The space group is P2/m (No. 10) and the conventional cell measures 4.229, 4.221 and 4.299 Å, with angles of 90.00, 90.61 and 90.00 degrees. The asymmetric unit holds Sc at (0.000, 0.000, 0.000), Pt at (0.500, 0.000, 0.500) and Cl at (0.240, 0.500, 0.759).

The calculation puts the uncorrected energy at -19.9 eV/cell. For the total moment, the calculation gives 0.0 μB per formula unit.

No. 3
Here is an optimized crystal structure of Sc2PtCl from Alexandria. Energies are from PBEsol.

The space group is R3m (No. 160, hexagonal axes) and the conventional cell measures 3.3401, 3.3401 and 26.9096 Å, with angles of 90.00, 90.00 and 120.00 degrees. The asymmetric unit holds Sc at (0.0000, 0.0000, 0.0000), Sc at (0.0000, 0.0000, 0.2299), Pt at (0.0000, 0.0000, 0.7277) and Cl at (0.0000, 0.0000, 0.5014).

The calculation puts the uncorrected energy at -75.7 eV/cell. For the total moment, the calculation gives 0.9 μB per formula unit.

No. 4
Here is an optimized crystal structure of Sc3PtCl from Alexandria. Energies are from PBEsol.

The space group is Pm-3m (No. 221) and the conventional cell measures 4.594, 4.594 and 4.594 Å, with angles of 90.00, 90.00 and 90.00 degrees. The asymmetric unit holds Sc at (0.000, 0.000, 0.500), Pt at (0.500, 0.500, 0.500) and Cl at (0.000, 0.000, 0.000).

The calculation puts the uncorrected energy at -31.7 eV/cell. For the total moment, the calculation gives 0.0 μB per formula unit.

No. 5
Here is an optimized crystal structure of PtSeCl2 from Alexandria. Energies are from PBEsol.

The space group is R3m (No. 160, hexagonal axes) and the conventional cell measures 3.6002, 3.6002 and 22.3380 Å, with angles of 90.00, 90.00 and 120.00 degrees. The asymmetric unit holds Pt at (0.0000, 0.0000, 0.0000), Se at (0.0000, 0.0000, 0.7276), Cl at (0.0000, 0.0000, 0.2700) and Cl at (0.0000, 0.0000, 0.4749).

The calculation puts the uncorrected energy at -48.8 eV/cell. For the total moment, the calculation gives 0.0 μB per formula unit.

No. 6
Here is an optimized crystal structure of PtSeCl2 from Alexandria. Energies are from PBEsol.

The space group is P4/mmm (No. 123) and the conventional cell measures 4.856, 4.856 and 2.964 Å, with angles of 90.00, 90.00 and 90.00 degrees. The asymmetric unit holds Pt at (0.000, 0.000, 0.000), Se at (0.500, 0.500, 0.000) and Cl at (0.000, 0.500, 0.500).

The calculation puts the uncorrected energy at -11.6 eV/cell. For the total moment, the calculation gives 0.0 μB per formula unit.